The following is a DFT calculation (PBE) of a relaxed Tl12Hg3Sb crystal.

Calculated values
- Calculated total energy: -33.3 eV per formula unit
- M_tot: 0.00 μB per cell
- ΔE_f (raw): 9 meV/atom
- Symmetry: No. 123
- V: 30.07 Å³ per atom

Structure (POSCAR):
```
Tl12Hg3Sb
1.0
4.903 0.000 0.000
0.000 4.903 0.000
0.000 0.000 20.016
Tl Hg Sb
12 3 1
Direct
0.500 0.000 0.122 Tl
0.000 0.500 0.623 Tl
0.500 0.000 0.878 Tl
0.500 0.000 0.377 Tl
0.500 0.500 0.000 Tl
0.000 0.500 0.878 Tl
0.500 0.000 0.623 Tl
0.000 0.500 0.122 Tl
0.500 0.500 0.749 Tl
0.500 0.500 0.251 Tl
0.000 0.500 0.377 Tl
0.500 0.500 0.500 Tl
0.000 0.000 0.500 Hg
0.000 0.000 0.744 Hg
0.000 0.000 0.256 Hg
0.000 0.000 0.000 Sb
```